Record 1
SrAsP2Ru after structural relaxation. Source: Alexandria via LeMat-Bulk, functional PBE-GGA.

```
SrAsP2Ru
1.0
5.3406 0.0000 0.0000
0.0000 5.3406 0.0000
0.0000 0.0000 5.0392
Sr As P Ru
1 1 2 1
Cartesian
0.0000 0.0000 0.0000 Sr
2.6703 2.6703 2.5196 As
0.0000 2.6703 0.0000 P
2.6703 0.0000 0.0000 P
0.0000 0.0000 2.5196 Ru
```

Values from the calculation:
* size of the total moment: 2.14 μB per formula unit
* final energy: -16.457 eV per cell
* energy relative to the elements: 1994 meV per atom



Record 2
TeAs2PRu after structural relaxation. Source: Alexandria via LeMat-Bulk, functional PBE-GGA.

```
TeAs2PRu
1.0
5.2720 0.0000 0.0000
0.0000 5.2720 0.0000
0.0000 0.0000 4.8582
Te As P Ru
1 2 1 1
Cartesian
0.0000 0.0000 0.0000 Te
0.0000 2.6360 0.0000 As
2.6360 0.0000 0.0000 As
2.6360 2.6360 2.4291 P
0.0000 0.0000 2.4291 Ru
```

Values from the calculation:
* formation energy from raw total energies: 1.615 eV/atom
* size of the total moment: 0.86 μB per formula unit
* final energy: -19.054 eV per cell
* energy above the lowest structure with this stoichiometry: 1219 meV/atom



Record 3
TeAs2PRu after structural relaxation. Source: Alexandria via LeMat-Bulk, functional PBE-GGA.

```
TeAs2PRu
1.0
4.9917 0.0000 0.0000
0.0000 4.9917 0.0000
0.0000 0.0000 4.3885
Te As P Ru
1 2 1 1
Cartesian
0.0000 0.0000 0.0000 Te
0.0000 2.4959 2.1943 As
2.4959 0.0000 2.1943 As
2.4959 2.4959 0.0000 P
2.4959 2.4959 2.1943 Ru
```

Values from the calculation:
* formation energy from raw total energies: 0.395 eV/atom
* size of the total moment: 0.00 μB per formula unit
* final energy: -25.151 eV per cell
* energy above the lowest structure with this stoichiometry: 0 meV/atom



Record 4
Th4As2PRu after structural relaxation. Source: Alexandria via LeMat-Bulk, functional PBE-GGA.

```
Th4As2PRu
1.0
7.3039 0.0000 0.0000
0.0000 4.1505 0.0000
-2.3824 0.0000 6.9487
Th As P Ru
4 2 1 1
Cartesian
1.1796 0.0000 1.6053 Th
0.0020 2.0752 5.3052 Th
4.9195 2.0752 1.6435 Th
3.7419 0.0000 5.3435 Th
-1.1912 0.0000 3.4744 As
2.4607 2.0752 3.4744 As
3.6519 0.0000 0.0000 P
0.0000 2.0752 0.0000 Ru
```

Values from the calculation:
* size of the total moment: 0.00 μB per formula unit
* final energy: -62.772 eV per cell
* energy relative to the elements: -1139 meV per atom



Record 5
ThAsPRu3 after structural relaxation. Source: Alexandria via LeMat-Bulk, functional PBE-GGA.

```
ThAsPRu3
1.0
2.8175 -7.2951 0.0000
2.8175 7.2951 0.0000
0.0000 0.0000 5.6797
Th As P Ru
2 2 2 6
Cartesian
2.8175 4.2726 4.2597 Th
2.8175 -4.2726 1.4199 Th
2.8175 5.9316 1.4199 As
2.8175 -5.9316 4.2597 As
2.8175 1.1707 1.4199 P
2.8175 -1.1707 4.2597 P
1.4229 0.0000 0.0000 Ru
1.4229 0.0000 2.8398 Ru
2.8175 3.4933 1.4199 Ru
2.8175 -3.4933 4.2597 Ru
4.2121 0.0000 0.0000 Ru
4.2121 0.0000 2.8398 Ru
```

Values from the calculation:
* size of the total moment: 0.00 μB per formula unit
* final energy: -97.606 eV per cell
* energy relative to the elements: -583 meV per atom



Record 6
AsP2S2 after structural relaxation. Source: Alexandria via LeMat-Bulk, functional PBE-GGA.

```
AsP2S2
1.0
4.8539 0.0000 0.0000
0.0000 4.8539 0.0000
0.0000 0.0000 4.4578
As P S
1 2 2
Cartesian
0.0000 0.0000 0.0000 As
0.0000 2.4270 0.0000 P
2.4270 0.0000 0.0000 P
0.0000 0.0000 2.2289 S
2.4270 2.4270 2.2289 S
```

Values from the calculation:
* formation energy from raw total energies: 1.213 eV/atom
* size of the total moment: 0.00 μB per formula unit
* final energy: -17.659 eV per cell
* energy above the lowest structure with this stoichiometry: 483 meV/atom



- Among the records above, which one has the lowest final energy?
  ThAsPRu3



- Which value of final energy does entry 2 give?
  -19.054 eV per cell



- Look up the size of the total moment of the third one.
  0.00 μB per formula unit